# 1
Material: YScHW2
Method: DFT, PBE
State: optimized geometry

a = 4.070 Å, b = 4.919 Å, c = 4.070 Å
α = 90.00°, β = 90.00°, γ = 90.00°
Fractional coordinates of all 5 atoms:
H 0.000 0.000 0.000
Y 0.000 0.500 0.000
W 0.000 0.000 0.500
Sc 0.500 0.500 0.500
W 0.500 0.000 0.000

For the size of the total moment, the calculation gives 0.00 μB per formula unit. The value obtained for the final energy is -40.2 eV per cell.



# 2
Material: Zr2ScHW
Method: DFT, PBE
State: optimized geometry

a = 5.369 Å, b = 3.404 Å, c = 5.369 Å
α = 90.00°, β = 90.00°, γ = 90.00°
Fractional coordinates of all 5 atoms:
H 0.000 0.500 0.000
W 0.000 0.000 0.000
Zr 0.000 0.000 0.500
Zr 0.500 0.000 0.000
Sc 0.500 0.500 0.500

For the size of the total moment, the calculation gives 0.00 μB per formula unit. The value obtained for the final energy is -36.3 eV per cell.



# 3
Material: YSc2H
Method: DFT, PBE
State: optimized geometry

a = 5.038 Å, b = 5.038 Å, c = 5.038 Å
α = 60.00°, β = 60.00°, γ = 60.00°
Fractional coordinates of all 4 atoms:
Y 0.500 0.500 0.500
Sc 0.750 0.750 0.750
H 0.000 0.000 0.000
Sc 0.250 0.250 0.250

For the size of the total moment, the calculation gives 0.00 μB per formula unit. The value obtained for the final energy is -19.1 eV per cell.



# 4
Material: YScH2
Method: DFT, PBE
State: optimized geometry

a = 3.354 Å, b = 3.354 Å, c = 5.950 Å
α = 73.63°, β = 73.63°, γ = 60.00°
Fractional coordinates of all 4 atoms:
H 0.269 0.269 0.194
H 0.069 0.069 0.792
Sc 0.671 0.671 0.987
Y 0.491 0.491 0.527

For the size of the total moment, the calculation gives 0.00 μB per formula unit. The value obtained for the final energy is -20.6 eV per cell.



# 5
Material: YSc3H
Method: DFT, PBE
State: optimized geometry

a = 5.368 Å, b = 5.368 Å, c = 5.368 Å
α = 90.00°, β = 90.00°, γ = 90.00°
Fractional coordinates of all 5 atoms:
Sc 0.000 0.000 0.500
Sc 0.500 0.000 0.000
Sc 0.000 0.500 0.000
H 0.500 0.500 0.500
Y 0.000 0.000 0.000

For the size of the total moment, the calculation gives 0.00 μB per formula unit. The value obtained for the final energy is -21.2 eV per cell.



# 6
Material: YSc2H
Method: DFT, PBE
State: optimized geometry

a = 3.385 Å, b = 3.385 Å, c = 8.294 Å
α = 78.23°, β = 78.23°, γ = 60.00°
Fractional coordinates of all 4 atoms:
H 0.000 0.000 0.000
Sc 0.718 0.718 0.847
Sc 0.282 0.282 0.153
Y 0.500 0.500 0.500

For the size of the total moment, the calculation gives 0.00 μB per formula unit. The value obtained for the final energy is -23.2 eV per cell.



Question: Among the records above, which one has the lowest final energy?
Answer: YScHW2